Crystalline Hf5B2As at its relaxed geometry. Source: Alexandria via LeMat-Bulk, functional PBE.

For the formation energy, the calculation gives -0.566 eV per atom. As for the spin magnetization: 0.00 μB per formula unit. The calculation puts the total energy at -289.205 eV per cell.

It has space group I4/mcm (No. 140), with a = 6.627 Å, b = 6.627 Å, c = 12.065 Å, α = 90.00°, β = 90.00° and γ = 90.00°. Symmetry generates all atoms from Hf at (0.000, 0.000, 0.000), Hf at (0.161, 0.339, 0.135), B at (0.145, 0.355, 0.500) and As at (0.000, 0.000, 0.250).